Below is an optimized crystal structure of CsMnH2F8, with properties calculated at the PBE with a Hubbard U level.

It has space group P-1 (No. 2), with a = 4.6998 Å, b = 4.9033 Å, c = 8.5443 Å, α = 93.33°, β = 105.55° and γ = 106.01°. Symmetry generates all atoms from Cs at (0.0000, 0.0000, 0.0000), Mn at (0.0000, 0.0000, 0.5000), H at (0.2952, 0.4643, 0.7840), F at (0.1810, 0.7072, 0.5177), F at (0.2382, 0.1546, 0.3722), F at (0.2990, 0.6079, 0.8706) and F at (0.3027, 0.2083, 0.6880).

The calculation puts the calculated total energy at -4.410 eV per atom.